First-principles (PBE) data for a relaxed structure of TaCuSb2, as listed in Alexandria via LeMat-Bulk.

Lattice parameters (Å, degrees): 4.851 4.851 4.851 60.00 60.00 60.00
Element x y z (fractional)
Sb  0.250  0.250  0.250
Sb  0.750  0.750  0.750
Cu  0.000  0.000  0.000
Ta  0.500  0.500  0.500

Results
Crystal system: cubic
Uncorrected formation energy (eV per formula unit): 1.78

***

First-principles (PBE) data for a relaxed structure of TaCuSb2, as listed in Alexandria via LeMat-Bulk.

Lattice parameters (Å, degrees): 3.120 3.120 9.206 90.00 90.00 98.58
Element x y z (fractional)
Sb  0.500  0.500  0.314
Sb  0.000  0.000  0.916
Cu  0.500  0.500  0.724
Ta  0.000  0.000  0.546

Results
Crystal system: orthorhombic
Uncorrected formation energy (eV per formula unit): 0.55

***

- Number 1 is which compound?
  TaCuSb2